[1]
Here is an optimized crystal structure of SrTlSn from the Alexandria database. Energies are from GGA-PBE.

Geometry as CIF:
```
data_SrTlSn
_cell_length_a 5.404
_cell_length_b 5.404
_cell_length_c 5.404
_cell_angle_alpha 60.00
_cell_angle_beta 60.00
_cell_angle_gamma 60.00
_symmetry_space_group_name_H-M 'P 1'
_symmetry_Int_Tables_number 1
_symmetry_space_group_name_Hall 'P 1'
loop_
_atom_site_label
_atom_site_type_symbol
_atom_site_fract_x
_atom_site_fract_y
_atom_site_fract_z
Sr1 Sr 0.000 0.000 0.000
Tl1 Tl 0.500 0.500 0.500
Sn1 Sn 0.250 0.250 0.250
```

Summary:
Formation energy: -0.298 eV per atom
M_tot: 0.00 μB/cell
E: -2.9814 eV/atom


[2]
Here is an optimized crystal structure of Sr2Tl4Sn from the Alexandria database. Energies are from GGA-PBE.

Geometry as CIF:
```
data_Sr2Tl4Sn
_cell_length_a 9.423
_cell_length_b 9.423
_cell_length_c 9.423
_cell_angle_alpha 144.40
_cell_angle_beta 144.40
_cell_angle_gamma 51.22
_symmetry_space_group_name_H-M 'P 1'
_symmetry_Int_Tables_number 1
_symmetry_space_group_name_Hall 'P 1'
loop_
_atom_site_label
_atom_site_type_symbol
_atom_site_fract_x
_atom_site_fract_y
_atom_site_fract_z
Sr1 Sr 0.127 0.127 0.000
Sr2 Sr 0.873 0.873 0.000
Tl1 Tl 0.000 0.500 0.500
Tl2 Tl 0.324 0.324 0.000
Tl3 Tl 0.500 0.000 0.500
Tl4 Tl 0.676 0.676 0.000
Sn1 Sn 0.500 0.500 0.000
```

Summary:
Formation energy: 0.004 eV per atom
Distance to the lowest polymorph of the same formula: 271 meV/atom
M_tot: 0.00 μB/cell
E: -2.4000 eV/atom


[3]
Here is an optimized crystal structure of Sr2Tl4Sn from the Alexandria database. Energies are from GGA-PBE.

Geometry as CIF:
```
data_Sr2Tl4Sn
_cell_length_a 7.279
_cell_length_b 6.769
_cell_length_c 9.741
_cell_angle_alpha 90.00
_cell_angle_beta 104.45
_cell_angle_gamma 90.00
_symmetry_space_group_name_H-M 'P 1'
_symmetry_Int_Tables_number 1
_symmetry_space_group_name_Hall 'P 1'
loop_
_atom_site_label
_atom_site_type_symbol
_atom_site_fract_x
_atom_site_fract_y
_atom_site_fract_z
Sr1 Sr 0.113 0.250 0.397
Sr2 Sr 0.240 0.750 0.018
Sr3 Sr 0.760 0.250 0.982
Sr4 Sr 0.887 0.750 0.603
Tl1 Tl 0.261 0.250 0.062
Tl2 Tl 0.377 0.503 0.741
Tl3 Tl 0.377 0.997 0.741
Tl4 Tl 0.386 0.750 0.449
Tl5 Tl 0.614 0.250 0.551
Tl6 Tl 0.623 0.003 0.259
Tl7 Tl 0.623 0.497 0.259
Tl8 Tl 0.739 0.750 0.938
Sn1 Sn 0.018 0.250 0.740
Sn2 Sn 0.982 0.750 0.260
```

Summary:
Formation energy: -0.266 eV per atom
Distance to the lowest polymorph of the same formula: 0 meV/atom
M_tot: 0.00 μB/cell
E: -2.6706 eV/atom


[4]
Here is an optimized crystal structure of SrTlSn from the Alexandria database. Energies are from GGA-PBE.

Geometry as CIF:
```
data_SrTlSn
_cell_length_a 9.466
_cell_length_b 9.466
_cell_length_c 4.531
_cell_angle_alpha 90.00
_cell_angle_beta 90.00
_cell_angle_gamma 149.73
_symmetry_space_group_name_H-M 'P 1'
_symmetry_Int_Tables_number 1
_symmetry_space_group_name_Hall 'P 1'
loop_
_atom_site_label
_atom_site_type_symbol
_atom_site_fract_x
_atom_site_fract_y
_atom_site_fract_z
Sr1 Sr 0.095 0.905 0.750
Sr2 Sr 0.905 0.095 0.250
Tl1 Tl 0.280 0.720 0.750
Tl2 Tl 0.720 0.280 0.250
Sn1 Sn 0.448 0.552 0.750
Sn2 Sn 0.552 0.448 0.250
```

Summary:
Formation energy: -0.420 eV per atom
M_tot: 0.00 μB/cell
E: -3.1032 eV/atom


[5]
Here is an optimized crystal structure of SrTl2Sn2 from the Alexandria database. Energies are from GGA-PBE.

Geometry as CIF:
```
data_SrTl2Sn2
_cell_length_a 8.835
_cell_length_b 8.835
_cell_length_c 4.048
_cell_angle_alpha 90.00
_cell_angle_beta 90.00
_cell_angle_gamma 90.00
_symmetry_space_group_name_H-M 'P 1'
_symmetry_Int_Tables_number 1
_symmetry_space_group_name_Hall 'P 1'
loop_
_atom_site_label
_atom_site_type_symbol
_atom_site_fract_x
_atom_site_fract_y
_atom_site_fract_z
Sr1 Sr 0.000 0.000 0.000
Sr2 Sr 0.500 0.500 0.000
Tl1 Tl 0.169 0.331 0.500
Tl2 Tl 0.331 0.831 0.500
Tl3 Tl 0.669 0.169 0.500
Tl4 Tl 0.831 0.669 0.500
Sn1 Sn 0.123 0.623 0.000
Sn2 Sn 0.377 0.123 0.000
Sn3 Sn 0.623 0.877 0.000
Sn4 Sn 0.877 0.377 0.000
```

Summary:
Formation energy: -0.152 eV per atom
Distance to the lowest polymorph of the same formula: 42 meV/atom
M_tot: 0.00 μB/cell
E: -3.0355 eV/atom


[6]
Here is an optimized crystal structure of SrTl3Sn from the Alexandria database. Energies are from GGA-PBE.

Geometry as CIF:
```
data_SrTl3Sn
_cell_length_a 7.834
_cell_length_b 7.834
_cell_length_c 6.477
_cell_angle_alpha 90.00
_cell_angle_beta 90.00
_cell_angle_gamma 120.00
_symmetry_space_group_name_H-M 'P 1'
_symmetry_Int_Tables_number 1
_symmetry_space_group_name_Hall 'P 1'
loop_
_atom_site_label
_atom_site_type_symbol
_atom_site_fract_x
_atom_site_fract_y
_atom_site_fract_z
Sr1 Sr 0.333 0.667 0.250
Sr2 Sr 0.667 0.333 0.750
Tl1 Tl 0.196 0.392 0.750
Tl2 Tl 0.196 0.804 0.750
Tl3 Tl 0.392 0.196 0.250
Tl4 Tl 0.608 0.804 0.750
Tl5 Tl 0.804 0.196 0.250
Tl6 Tl 0.804 0.608 0.250
Sn1 Sn 0.000 0.000 0.000
Sn2 Sn 0.000 0.000 0.500
```

Summary:
Formation energy: -0.085 eV per atom
Distance to the lowest polymorph of the same formula: 105 meV/atom
M_tot: 0.00 μB/cell
E: -2.6421 eV/atom


[7]
Here is an optimized crystal structure of SrTl3Sn from the Alexandria database. Energies are from GGA-PBE.

Geometry as CIF:
```
data_SrTl3Sn
_cell_length_a 6.093
_cell_length_b 6.093
_cell_length_c 6.093
_cell_angle_alpha 90.00
_cell_angle_beta 90.00
_cell_angle_gamma 90.00
_symmetry_space_group_name_H-M 'P 1'
_symmetry_Int_Tables_number 1
_symmetry_space_group_name_Hall 'P 1'
loop_
_atom_site_label
_atom_site_type_symbol
_atom_site_fract_x
_atom_site_fract_y
_atom_site_fract_z
Sr1 Sr 0.000 0.000 0.000
Tl1 Tl 0.000 0.000 0.500
Tl2 Tl 0.000 0.500 0.000
Tl3 Tl 0.500 0.000 0.000
Sn1 Sn 0.500 0.500 0.500
```

Summary:
Formation energy: 0.599 eV per atom
Distance to the lowest polymorph of the same formula: 790 meV/atom
M_tot: 0.00 μB/cell
E: -1.9580 eV/atom


[8]
Here is an optimized crystal structure of SrTlSn from the Alexandria database. Energies are from GGA-PBE.

Geometry as CIF:
```
data_SrTlSn
_cell_length_a 4.926
_cell_length_b 4.926
_cell_length_c 4.745
_cell_angle_alpha 90.00
_cell_angle_beta 90.00
_cell_angle_gamma 120.00
_symmetry_space_group_name_H-M 'P 1'
_symmetry_Int_Tables_number 1
_symmetry_space_group_name_Hall 'P 1'
loop_
_atom_site_label
_atom_site_type_symbol
_atom_site_fract_x
_atom_site_fract_y
_atom_site_fract_z
Sr1 Sr 0.000 0.000 0.000
Tl1 Tl 0.333 0.667 0.615
Sn1 Sn 0.667 0.333 0.410
```

Summary:
Formation energy: -0.394 eV per atom
M_tot: 0.00 μB/cell
E: -3.0774 eV/atom


[9]
Here is an optimized crystal structure of Sr2Tl2Sn from the Alexandria database. Energies are from GGA-PBE.

Geometry as CIF:
```
data_Sr2Tl2Sn
_cell_length_a 8.222
_cell_length_b 8.222
_cell_length_c 5.029
_cell_angle_alpha 90.00
_cell_angle_beta 90.00
_cell_angle_gamma 90.00
_symmetry_space_group_name_H-M 'P 1'
_symmetry_Int_Tables_number 1
_symmetry_space_group_name_Hall 'P 1'
loop_
_atom_site_label
_atom_site_type_symbol
_atom_site_fract_x
_atom_site_fract_y
_atom_site_fract_z
Sr1 Sr 0.175 0.325 0.000
Sr2 Sr 0.325 0.825 0.000
Sr3 Sr 0.675 0.175 0.000
Sr4 Sr 0.825 0.675 0.000
Tl1 Tl 0.132 0.632 0.500
Tl2 Tl 0.368 0.132 0.500
Tl3 Tl 0.632 0.868 0.500
Tl4 Tl 0.868 0.368 0.500
Sn1 Sn 0.000 0.000 0.500
Sn2 Sn 0.500 0.500 0.500
```

Summary:
Formation energy: -0.374 eV per atom
Distance to the lowest polymorph of the same formula: 54 meV/atom
M_tot: 0.00 μB/cell
E: -2.7933 eV/atom


[10]
Here is an optimized crystal structure of Sr4TlSn2 from the Alexandria database. Energies are from GGA-PBE.

Geometry as CIF:
```
data_Sr4TlSn2
_cell_length_a 9.845
_cell_length_b 9.845
_cell_length_c 9.845
_cell_angle_alpha 33.77
_cell_angle_beta 33.77
_cell_angle_gamma 33.77
_symmetry_space_group_name_H-M 'P 1'
_symmetry_Int_Tables_number 1
_symmetry_space_group_name_Hall 'P 1'
loop_
_atom_site_label
_atom_site_type_symbol
_atom_site_fract_x
_atom_site_fract_y
_atom_site_fract_z
Sr1 Sr 0.122 0.122 0.122
Sr2 Sr 0.373 0.373 0.373
Sr3 Sr 0.627 0.627 0.627
Sr4 Sr 0.878 0.878 0.878
Tl1 Tl 0.500 0.500 0.500
Sn1 Sn 0.249 0.249 0.249
Sn2 Sn 0.751 0.751 0.751
```

Summary:
Formation energy: -0.535 eV per atom
M_tot: 0.00 μB/cell
E: -2.9778 eV/atom


[11]
Here is an optimized crystal structure of SrTl6Sn from the Alexandria database. Energies are from GGA-PBE.

Geometry as CIF:
```
data_SrTl6Sn
_cell_length_a 6.918
_cell_length_b 6.918
_cell_length_c 6.794
_cell_angle_alpha 106.18
_cell_angle_beta 106.18
_cell_angle_gamma 113.20
_symmetry_space_group_name_H-M 'P 1'
_symmetry_Int_Tables_number 1
_symmetry_space_group_name_Hall 'P 1'
loop_
_atom_site_label
_atom_site_type_symbol
_atom_site_fract_x
_atom_site_fract_y
_atom_site_fract_z
Sr1 Sr 0.000 0.000 0.000
Tl1 Tl 0.010 0.521 0.257
Tl2 Tl 0.477 0.477 0.738
Tl3 Tl 0.479 0.990 0.743
Tl4 Tl 0.521 0.010 0.257
Tl5 Tl 0.523 0.523 0.262
Tl6 Tl 0.990 0.479 0.743
Sn1 Sn 0.000 0.000 0.500
```

Summary:
Formation energy: -0.100 eV per atom
Distance to the lowest polymorph of the same formula: 23 meV/atom
M_tot: 0.00 μB/cell
E: -2.5854 eV/atom


[12]
Here is an optimized crystal structure of Sr3Tl2Sn7 from the Alexandria database. Energies are from GGA-PBE.

Geometry as CIF:
```
data_Sr3Tl2Sn7
_cell_length_a 11.173
_cell_length_b 11.173
_cell_length_c 11.173
_cell_angle_alpha 33.64
_cell_angle_beta 33.64
_cell_angle_gamma 33.64
_symmetry_space_group_name_H-M 'P 1'
_symmetry_Int_Tables_number 1
_symmetry_space_group_name_Hall 'P 1'
loop_
_atom_site_label
_atom_site_type_symbol
_atom_site_fract_x
_atom_site_fract_y
_atom_site_fract_z
Sr1 Sr 0.000 0.000 0.000
Sr2 Sr 0.139 0.139 0.139
Sr3 Sr 0.861 0.861 0.861
Tl1 Tl 0.336 0.336 0.336
Tl2 Tl 0.664 0.664 0.664
Sn1 Sn 0.077 0.593 0.593
Sn2 Sn 0.407 0.407 0.923
Sn3 Sn 0.407 0.923 0.407
Sn4 Sn 0.500 0.500 0.500
Sn5 Sn 0.593 0.077 0.593
Sn6 Sn 0.593 0.593 0.077
Sn7 Sn 0.923 0.407 0.407
```

Summary:
Formation energy: -0.318 eV per atom
M_tot: 0.00 μB/cell
E: -3.4681 eV/atom


> What is the formula in the twelfth record?

Sr3Tl2Sn7